The following is a DFT calculation (GGA-PBE) of ScZn2Cd2 after structural relaxation.

Lattice parameters (Å, degrees): 7.6682 7.6682 3.3656 90.00 90.00 90.00
Positions (direct):
Sc: 0.0000 0.0000 0.0000
Sc: 0.5000 0.5000 0.0000
Zn: 0.3812 0.8812 0.0000
Zn: 0.8812 0.6188 0.0000
Zn: 0.6188 0.1188 0.0000
Zn: 0.1188 0.3812 0.0000
Cd: 0.1829 0.6829 0.5000
Cd: 0.6829 0.8171 0.5000
Cd: 0.8171 0.3171 0.5000
Cd: 0.3171 0.1829 0.5000

**Formation energy from the elements**: -24 kJ/mol of formula units
**Magnetization**: 0.00 μB/f.u.
**Space-group type**: P4/mbm
**Energy above the most stable polymorph in this dataset**: 108 meV per atom